Version i
Material: DyMgInGa
Method: DFT, PBE-GGA
State: optimized geometry

Results
**DOS(E_F)**: 0.505 states/eV per atom
**Total magnetization**: 0.00 Bohr magnetons per cell

```
data_DyMgInGa
_chemical_formula_sum 'Dy1 Mg1 In1 Ga1'
_space_group_name_H-M_alt 'P 1'
_space_group_IT_number 1
_space_group_name_Hall 'P 1'
_cell_length_a 4.373
_cell_length_b 4.446
_cell_length_c 4.593
_cell_angle_alpha 90.00
_cell_angle_beta 90.00
_cell_angle_gamma 90.00
loop_
_atom_site_label
_atom_site_type_symbol
_atom_site_fract_x
_atom_site_fract_y
_atom_site_fract_z
Dy1 Dy 0.000 0.000 0.000
Mg1 Mg 0.000 0.500 0.500
In1 In 0.500 0.000 0.500
Ga1 Ga 0.500 0.500 0.000
```

---

Version ii
Material: DyMgInGa
Method: DFT, PBE-GGA
State: optimized geometry

Results
**DOS(E_F)**: 0.550 states/eV per atom
**Total magnetization**: 0.00 Bohr magnetons per cell

```
data_DyMgInGa
_chemical_formula_sum 'Dy1 Mg1 In1 Ga1'
_space_group_name_H-M_alt 'P 1'
_space_group_IT_number 1
_space_group_name_Hall 'P 1'
_cell_length_a 5.068
_cell_length_b 5.068
_cell_length_c 5.068
_cell_angle_alpha 60.00
_cell_angle_beta 60.00
_cell_angle_gamma 60.00
loop_
_atom_site_label
_atom_site_type_symbol
_atom_site_fract_x
_atom_site_fract_y
_atom_site_fract_z
Dy1 Dy 0.000 0.000 0.000
Mg1 Mg 0.500 0.500 0.500
In1 In 0.750 0.750 0.750
Ga1 Ga 0.250 0.250 0.250
```

---

Most stable of them? version i.

---

Version i
Material: PrDyInGa
Method: DFT, PBE-GGA
State: optimized geometry

Results
**DOS(E_F)**: 0.532 states/eV per atom
**Total magnetization**: 0.00 Bohr magnetons per cell

```
data_PrDyInGa
_chemical_formula_sum 'Pr1 Dy1 In1 Ga1'
_space_group_name_H-M_alt 'P 1'
_space_group_IT_number 1
_space_group_name_Hall 'P 1'
_cell_length_a 3.715
_cell_length_b 3.715
_cell_length_c 7.589
_cell_angle_alpha 90.00
_cell_angle_beta 90.00
_cell_angle_gamma 90.00
loop_
_atom_site_label
_atom_site_type_symbol
_atom_site_fract_x
_atom_site_fract_y
_atom_site_fract_z
Pr1 Pr 0.000 0.000 0.000
Dy1 Dy 0.000 0.000 0.473
In1 In 0.500 0.500 0.722
Ga1 Ga 0.500 0.500 0.253
```

---

Version ii
Material: PrDyInGa
Method: DFT, PBE-GGA
State: optimized geometry

Results
**DOS(E_F)**: 0.348 states/eV per atom
**Total magnetization**: 0.00 Bohr magnetons per cell

```
data_PrDyInGa
_chemical_formula_sum 'Pr1 Dy1 In1 Ga1'
_space_group_name_H-M_alt 'P 1'
_space_group_IT_number 1
_space_group_name_Hall 'P 1'
_cell_length_a 5.302
_cell_length_b 5.302
_cell_length_c 5.302
_cell_angle_alpha 60.00
_cell_angle_beta 60.00
_cell_angle_gamma 60.00
loop_
_atom_site_label
_atom_site_type_symbol
_atom_site_fract_x
_atom_site_fract_y
_atom_site_fract_z
Pr1 Pr 0.000 0.000 0.000
Dy1 Dy 0.500 0.500 0.500
In1 In 0.250 0.250 0.250
Ga1 Ga 0.750 0.750 0.750
```

---

Most stable of them? version i.

---

Version i
Material: DyScInGa
Method: DFT, PBE-GGA
State: optimized geometry

Results
**DOS(E_F)**: 0.429 states/eV per atom
**Total magnetization**: 0.00 Bohr magnetons per cell

```
data_DyScInGa
_chemical_formula_sum 'Dy1 Sc1 In1 Ga1'
_space_group_name_H-M_alt 'P 1'
_space_group_IT_number 1
_space_group_name_Hall 'P 1'
_cell_length_a 5.058
_cell_length_b 5.058
_cell_length_c 5.058
_cell_angle_alpha 60.00
_cell_angle_beta 60.00
_cell_angle_gamma 60.00
loop_
_atom_site_label
_atom_site_type_symbol
_atom_site_fract_x
_atom_site_fract_y
_atom_site_fract_z
Dy1 Dy 0.000 0.000 0.000
Sc1 Sc 0.500 0.500 0.500
In1 In 0.250 0.250 0.250
Ga1 Ga 0.750 0.750 0.750
```

---

Version ii
Material: DyScInGa
Method: DFT, PBE-GGA
State: optimized geometry

Results
**DOS(E_F)**: 0.567 states/eV per atom
**Total magnetization**: 0.00 Bohr magnetons per cell

```
data_DyScInGa
_chemical_formula_sum 'Dy1 Sc1 In1 Ga1'
_space_group_name_H-M_alt 'P 1'
_space_group_IT_number 1
_space_group_name_Hall 'P 1'
_cell_length_a 3.495
_cell_length_b 3.495
_cell_length_c 7.427
_cell_angle_alpha 90.00
_cell_angle_beta 90.00
_cell_angle_gamma 90.00
loop_
_atom_site_label
_atom_site_type_symbol
_atom_site_fract_x
_atom_site_fract_y
_atom_site_fract_z
Dy1 Dy 0.000 0.000 0.000
Sc1 Sc 0.000 0.000 0.467
In1 In 0.500 0.500 0.716
Ga1 Ga 0.500 0.500 0.251
```

---

Most stable of them? version ii.

---

Version i
Material: DyGa4Ir2
Method: DFT, PBE-GGA
State: optimized geometry

Results
**DOS(E_F)**: 0.513 states/eV per atom
**Total magnetization**: 0.00 Bohr magnetons per cell

```
data_DyGa4Ir2
_chemical_formula_sum 'Dy4 Ga16 Ir8'
_space_group_name_H-M_alt 'P 1'
_space_group_IT_number 1
_space_group_name_Hall 'P 1'
_cell_length_a 17.129
_cell_length_b 4.294
_cell_length_c 6.615
_cell_angle_alpha 90.00
_cell_angle_beta 90.00
_cell_angle_gamma 90.00
loop_
_atom_site_label
_atom_site_type_symbol
_atom_site_fract_x
_atom_site_fract_y
_atom_site_fract_z
Dy1 Dy 0.141 0.250 0.007
Dy2 Dy 0.359 0.750 0.507
Dy3 Dy 0.641 0.250 0.493
Dy4 Dy 0.859 0.750 0.993
Ga1 Ga 0.036 0.750 0.848
Ga2 Ga 0.067 0.250 0.487
Ga3 Ga 0.187 0.750 0.305
Ga4 Ga 0.189 0.750 0.716
Ga5 Ga 0.311 0.250 0.216
Ga6 Ga 0.313 0.250 0.805
Ga7 Ga 0.433 0.750 0.987
Ga8 Ga 0.464 0.250 0.348
Ga9 Ga 0.536 0.750 0.652
Ga10 Ga 0.567 0.250 0.013
Ga11 Ga 0.687 0.750 0.195
Ga12 Ga 0.689 0.750 0.784
Ga13 Ga 0.811 0.250 0.284
Ga14 Ga 0.813 0.250 0.695
Ga15 Ga 0.933 0.750 0.513
Ga16 Ga 0.964 0.250 0.152
Ir1 Ir 0.038 0.750 0.241
Ir2 Ir 0.214 0.250 0.512
Ir3 Ir 0.286 0.750 0.012
Ir4 Ir 0.462 0.250 0.741
Ir5 Ir 0.538 0.750 0.259
Ir6 Ir 0.714 0.250 0.988
Ir7 Ir 0.786 0.750 0.488
Ir8 Ir 0.962 0.250 0.759
```

---

Version ii
Material: DyGa4Ir2
Method: DFT, PBE-GGA
State: optimized geometry

Results
**DOS(E_F)**: 0.436 states/eV per atom
**Total magnetization**: 0.00 Bohr magnetons per cell

```
data_DyGa4Ir2
_chemical_formula_sum 'Dy2 Ga8 Ir4'
_space_group_name_H-M_alt 'P 1'
_space_group_IT_number 1
_space_group_name_Hall 'P 1'
_cell_length_a 7.750
_cell_length_b 7.750
_cell_length_c 4.140
_cell_angle_alpha 90.00
_cell_angle_beta 90.00
_cell_angle_gamma 90.00
loop_
_atom_site_label
_atom_site_type_symbol
_atom_site_fract_x
_atom_site_fract_y
_atom_site_fract_z
Dy1 Dy 0.000 0.000 0.000
Dy2 Dy 0.500 0.500 0.500
Ga1 Ga 0.086 0.329 0.500
Ga2 Ga 0.171 0.586 0.000
Ga3 Ga 0.329 0.086 0.500
Ga4 Ga 0.414 0.829 0.000
Ga5 Ga 0.586 0.171 0.000
Ga6 Ga 0.671 0.914 0.500
Ga7 Ga 0.829 0.414 0.000
Ga8 Ga 0.914 0.671 0.500
Ir1 Ir 0.217 0.783 0.500
Ir2 Ir 0.283 0.283 0.000
Ir3 Ir 0.717 0.717 0.000
Ir4 Ir 0.783 0.217 0.500
```

---

Most stable of them? version i.

---

Version i
Material: LaDyGaIr
Method: DFT, PBE-GGA
State: optimized geometry

Results
**DOS(E_F)**: 0.892 states/eV per atom
**Total magnetization**: 0.00 Bohr magnetons per cell

```
data_LaDyGaIr
_chemical_formula_sum 'La1 Dy1 Ga1 Ir1'
_space_group_name_H-M_alt 'P 1'
_space_group_IT_number 1
_space_group_name_Hall 'P 1'
_cell_length_a 4.347
_cell_length_b 5.669
_cell_length_c 5.669
_cell_angle_alpha 44.21
_cell_angle_beta 90.00
_cell_angle_gamma 90.00
loop_
_atom_site_label
_atom_site_type_symbol
_atom_site_fract_x
_atom_site_fract_y
_atom_site_fract_z
La1 La 0.000 0.000 0.000
Dy1 Dy 0.500 0.285 0.285
Ga1 Ga 0.500 0.585 0.585
Ir1 Ir 0.000 0.725 0.725
```

---

Version ii
Material: LaDyGaIr
Method: DFT, PBE-GGA
State: optimized geometry

Results
**DOS(E_F)**: 0.952 states/eV per atom
**Total magnetization**: 0.00 Bohr magnetons per cell

```
data_LaDyGaIr
_chemical_formula_sum 'La1 Dy1 Ga1 Ir1'
_space_group_name_H-M_alt 'P 1'
_space_group_IT_number 1
_space_group_name_Hall 'P 1'
_cell_length_a 5.087
_cell_length_b 5.087
_cell_length_c 5.087
_cell_angle_alpha 60.00
_cell_angle_beta 60.00
_cell_angle_gamma 60.00
loop_
_atom_site_label
_atom_site_type_symbol
_atom_site_fract_x
_atom_site_fract_y
_atom_site_fract_z
La1 La 0.000 0.000 0.000
Dy1 Dy 0.500 0.500 0.500
Ga1 Ga 0.250 0.250 0.250
Ir1 Ir 0.750 0.750 0.750
```

---

Most stable of them? version i.

---

Version i
Material: PmDyGaIr
Method: DFT, PBE-GGA
State: optimized geometry

Results
**DOS(E_F)**: 0.832 states/eV per atom
**Total magnetization**: 0.00 Bohr magnetons per cell

```
data_PmDyGaIr
_chemical_formula_sum 'Pm1 Dy1 Ga1 Ir1'
_space_group_name_H-M_alt 'P 1'
_space_group_IT_number 1
_space_group_name_Hall 'P 1'
_cell_length_a 5.023
_cell_length_b 5.023
_cell_length_c 5.023
_cell_angle_alpha 60.00
_cell_angle_beta 60.00
_cell_angle_gamma 60.00
loop_
_atom_site_label
_atom_site_type_symbol
_atom_site_fract_x
_atom_site_fract_y
_atom_site_fract_z
Pm1 Pm 0.000 0.000 0.000
Dy1 Dy 0.500 0.500 0.500
Ga1 Ga 0.250 0.250 0.250
Ir1 Ir 0.750 0.750 0.750
```

---

Version ii
Material: PmDyGaIr
Method: DFT, PBE-GGA
State: optimized geometry

Results
**DOS(E_F)**: 0.844 states/eV per atom
**Total magnetization**: 0.00 Bohr magnetons per cell

```
data_PmDyGaIr
_chemical_formula_sum 'Pm1 Dy1 Ga1 Ir1'
_space_group_name_H-M_alt 'P 1'
_space_group_IT_number 1
_space_group_name_Hall 'P 1'
_cell_length_a 4.256
_cell_length_b 5.779
_cell_length_c 5.779
_cell_angle_alpha 41.41
_cell_angle_beta 90.00
_cell_angle_gamma 90.00
loop_
_atom_site_label
_atom_site_type_symbol
_atom_site_fract_x
_atom_site_fract_y
_atom_site_fract_z
Pm1 Pm 0.000 0.000 0.000
Dy1 Dy 0.500 0.282 0.282
Ga1 Ga 0.500 0.578 0.578
Ir1 Ir 0.000 0.719 0.719
```

---

Most stable of them? version ii.

---

Version i
Material: PrDyGaIr
Method: DFT, PBE-GGA
State: optimized geometry

Results
**DOS(E_F)**: 0.846 states/eV per atom
**Total magnetization**: 0.00 Bohr magnetons per cell

```
data_PrDyGaIr
_chemical_formula_sum 'Pr1 Dy1 Ga1 Ir1'
_space_group_name_H-M_alt 'P 1'
_space_group_IT_number 1
_space_group_name_Hall 'P 1'
_cell_length_a 3.990
_cell_length_b 6.038
_cell_length_c 6.038
_cell_angle_alpha 41.56
_cell_angle_beta 90.00
_cell_angle_gamma 90.00
loop_
_atom_site_label
_atom_site_type_symbol
_atom_site_fract_x
_atom_site_fract_y
_atom_site_fract_z
Pr1 Pr 0.000 0.000 0.000
Dy1 Dy 0.500 0.285 0.285
Ga1 Ga 0.500 0.589 0.589
Ir1 Ir 0.000 0.734 0.734
```

---

Version ii
Material: PrDyGaIr
Method: DFT, PBE-GGA
State: optimized geometry

Results
**DOS(E_F)**: 0.887 states/eV per atom
**Total magnetization**: 0.00 Bohr magnetons per cell

```
data_PrDyGaIr
_chemical_formula_sum 'Pr1 Dy1 Ga1 Ir1'
_space_group_name_H-M_alt 'P 1'
_space_group_IT_number 1
_space_group_name_Hall 'P 1'
_cell_length_a 5.063
_cell_length_b 5.063
_cell_length_c 5.063
_cell_angle_alpha 60.00
_cell_angle_beta 60.00
_cell_angle_gamma 60.00
loop_
_atom_site_label
_atom_site_type_symbol
_atom_site_fract_x
_atom_site_fract_y
_atom_site_fract_z
Pr1 Pr 0.000 0.000 0.000
Dy1 Dy 0.500 0.500 0.500
Ga1 Ga 0.750 0.750 0.750
Ir1 Ir 0.250 0.250 0.250
```

---

Most stable of them? version i.